Entry 1:
Compound: NaIn2Pb4
Source: Alexandria
Functional: PBE-GGA
Structure: optimized geometry

Results
ΔH_f (0 K)	0	meV per atom
E above lowest polymorph	9	kJ/mol of formula units
DOS at the Fermi energy	13.877	states/eV per cell
crystal system	orthorhombic

a b c (Å): 8.7563 10.2385 9.5824
angles (deg): 90.00 90.00 90.00
Last column: nearest neighbours and their distance in Å.
Space group Cccm (No. 66)
Unique sites:
Na: 0.0000 0.0000 0.2500  4 In 3.35, 8 Pb 3.37-3.57
In: 0.0021 0.2287 0.0000  8 Pb 3.25-3.55, 2 Na 3.35
Pb: 0.1972 0.5004 0.0000  4 In 3.26-3.55, 5 Pb 3.45-3.55, 2 Na 3.57
Pb: 0.2500 0.2500 0.2514  4 In 3.25-3.26, 2 Na 3.37, 4 Pb 3.52-3.55

Entry 2:
Compound: NaInPb
Source: Alexandria
Functional: PBE-GGA
Structure: optimized geometry

Results
ΔH_f (0 K)	-102	meV per atom
DOS at the Fermi energy	2.424	states/eV per cell
crystal system	hexagonal

a b c (Å): 5.4494 5.4494 6.6344
angles (deg): 90.00 90.00 120.00
Last column: nearest neighbours and their distance in Å.
Space group P6_3/mmc (No. 194)
Unique sites:
Na: 0.0000 0.0000 0.0000  2 Na 3.32, 6 In 3.56, 6 Pb 3.56
In: 0.3333 0.6667 0.2500  5 Pb 3.15-3.32
Pb: 0.3333 0.6667 0.7500  5 In 3.15-3.32

Entry 3:
Compound: NaInPb
Source: Alexandria
Functional: PBE-GGA
Structure: optimized geometry

Results
ΔH_f (0 K)	-91	meV per atom
DOS at the Fermi energy	5.241	states/eV per cell
crystal system	triclinic

a b c (Å): 6.8227 7.6849 7.7148
angles (deg): 97.85 115.92 102.32
Last column: nearest neighbours and their distance in Å.
Space group P1 (No. 1)
Unique sites:
Na: 0.0000 0.0000 0.0000  4 Na 3.38-3.53, 4 In 3.39-3.54, 4 Pb 3.40-3.48
Na: 0.2451 0.0053 0.4989  5 Pb 3.36-3.54, 4 In 3.40-3.48, 3 Na 3.45-3.59
Na: 0.5026 0.0006 0.0151  4 In 3.32-3.47, 4 Na 3.38-3.62, 4 Pb 3.39-3.49
Na: 0.7550 0.3457 0.8348  4 Pb 3.33-3.39, 5 In 3.35-3.50, 3 Na 3.47-3.62
In: 0.2636 0.3403 0.8481  3 In 3.30-3.57, 4 Pb 3.30-3.48, 5 Na 3.39-3.48
In: 0.4943 0.3374 0.3287  4 Na 3.32-3.50, 4 In 3.34-3.41, 4 Pb 3.37-3.50
In: 0.7458 0.6638 0.1726  3 In 3.30-3.39, 4 Na 3.35-3.54, 5 Pb 3.38-3.48
In: 0.9973 0.3405 0.3340  4 Pb 3.29-3.47, 4 In 3.39-3.57, 4 Na 3.39-3.47
Pb: 0.2480 0.6632 0.1676  5 In 3.30-3.44, 4 Na 3.33-3.48, 3 Pb 3.48-3.51
Pb: 0.4940 0.6617 0.6703  4 In 3.36-3.48, 4 Na 3.38-3.54, 4 Pb 3.38-3.57
Pb: 0.7561 0.0067 0.5049  5 Na 3.36-3.46, 4 In 3.38-3.50, 3 Pb 3.48-3.57
Pb: 0.9947 0.6618 0.6619  4 In 3.29-3.48, 4 Pb 3.38-3.51, 4 Na 3.38-3.51

Entry 4:
Compound: NaInPb
Source: Alexandria
Functional: PBE-GGA
Structure: optimized geometry

Results
ΔH_f (0 K)	44	meV per atom
DOS at the Fermi energy	25.326	states/eV per cell
crystal system	orthorhombic

a b c (Å): 6.9131 13.0261 17.8491
angles (deg): 90.00 90.00 90.00
Last column: nearest neighbours and their distance in Å.
Space group Fddd (No. 70, origin choice 2)
Unique sites:
Na: 0.1250 0.1250 0.3193  2 In 3.30, 2 Pb 3.41
In: 0.0000 0.0000 0.5000  2 Pb 2.94
Pb: 0.1044 0.3750 0.3750  2 In 2.94, 1 Pb 3.17

Entry 5:
Compound: NaInPb
Source: Alexandria
Functional: PBE-GGA
Structure: optimized geometry

Results
ΔH_f (0 K)	-95	meV per atom
DOS at the Fermi energy	2.922	states/eV per cell
crystal system	tetragonal

a b c (Å): 3.5008 3.5008 14.1168
angles (deg): 90.00 90.00 90.00
Last column: nearest neighbours and their distance in Å.
Space group I4mm (No. 107)
Unique sites:
Na: 0.0000 0.0000 0.0000  4 In 3.41, 4 Na 3.50, 4 Pb 3.51
In: 0.0000 0.0000 0.6659  4 Pb 3.33, 4 Na 3.41, 4 In 3.50
Pb: 0.0000 0.0000 0.3239  4 In 3.33, 4 Pb 3.50, 4 Na 3.51

Entry 6:
Compound: Na8InPb2
Source: Alexandria
Functional: PBE-GGA
Structure: optimized geometry

Results
ΔH_f (0 K)	-36	meV per atom
E above lowest polymorph	0	kJ/mol of formula units
DOS at the Fermi energy	9.108	states/eV per cell
crystal system	monoclinic

a b c (Å): 9.0029 16.0981 5.8060
angles (deg): 90.00 126.39 90.00
Last column: nearest neighbours and their distance in Å.
Space group C2/m (No. 12)
Unique sites:
Na: 0.0000 0.2056 0.0000  1 In 3.31, 6 Na 3.36-3.69, 4 Pb 3.42-3.65
Na: 0.0929 0.5000 0.8044  3 Na 2.88-3.21, 1 In 3.13
Na: 0.2229 0.1292 0.6737  4 Na 3.21-3.40, 2 Pb 3.31-3.44
In: 0.0000 0.0000 0.0000  4 Na 3.13-3.31
Pb: 0.0000 0.3177 0.5000  10 Na 3.27-3.65

Entry 7:
Compound: Na2In5Pb4
Source: Alexandria
Functional: PBE-GGA
Structure: optimized geometry

Results
ΔH_f (0 K)	3	meV per atom
DOS at the Fermi energy	4.350	states/eV per cell
crystal system	monoclinic

a b c (Å): 9.5133 3.5730 10.3596
angles (deg): 90.00 109.43 90.00
Last column: nearest neighbours and their distance in Å.
Space group P2/m (No. 10)
Unique sites:
Na: 0.0666 0.0000 0.2029  3 In 3.28-3.35, 6 Pb 3.38-3.55, 2 Na 3.57
In: 0.0000 0.0000 0.5000  2 In 3.06, 2 Na 3.34
In: 0.2654 0.0000 0.7667  2 In 2.97-3.06, 2 Pb 3.22, 1 Na 3.28
In: 0.4342 0.0000 0.2610  1 In 2.97, 2 Pb 3.23
Pb: 0.2257 0.5000 0.0109  4 In 3.22-3.23, 4 Na 3.38-3.42, 2 Pb 3.57
Pb: 0.3126 0.5000 0.4839  8 In 3.41-3.58, 3 Pb 3.47-3.57, 2 Na 3.55

Entry 8:
Compound: Na12InPb2
Source: Alexandria
Functional: PBE-GGA
Structure: optimized geometry

Results
ΔH_f (0 K)	81	meV per atom
DOS at the Fermi energy	12.003	states/eV per cell
crystal system	tetragonal

a b c (Å): 6.7568 6.7568 23.7706
angles (deg): 90.00 90.00 90.00
Last column: nearest neighbours and their distance in Å.
Space group P4/nbm (No. 125, origin choice 2)
Unique sites:
Na: 0.0000 0.0000 0.0887  2 In 3.19, 6 Na 3.38-3.45, 2 Pb 3.54
Na: 0.0712 0.5712 0.4322  8 Na 3.42-3.63
Na: 0.2500 0.2500 0.1935  1 Na 3.02, 4 Pb 3.38
Na: 0.2500 0.2500 0.3208  1 Na 3.02
In: 0.2500 0.7500 0.0000  8 Na 3.19
Pb: 0.2500 0.7500 0.1983  8 Na 3.38-3.54

Entry 9:
Compound: Na2In2Pb5
Source: Alexandria
Functional: PBE-GGA
Structure: optimized geometry

Results
ΔH_f (0 K)	-5	meV per atom
E above lowest polymorph	0	kJ/mol of formula units
DOS at the Fermi energy	8.040	states/eV per cell
crystal system	monoclinic

a b c (Å): 11.9243 5.7910 8.9030
angles (deg): 90.00 113.37 90.00
Last column: nearest neighbours and their distance in Å.
Space group C2/m (No. 12)
Unique sites:
Na: 0.2278 0.0000 0.3912  1 In 3.17, 4 Pb 3.38-3.46, 2 Na 3.41
In: 0.1999 0.5000 0.9150  6 Pb 3.13-3.41, 1 Na 3.17, 2 In 3.27
Pb: 0.0000 0.0000 0.0000  2 In 3.35, 6 Pb 3.36-3.37, 2 Na 3.46
Pb: 0.0852 0.5000 0.2072  2 In 3.13-3.39, 4 Pb 3.37-3.47, 3 Na 3.38-3.43
Pb: 0.1033 0.0000 0.6990  3 In 3.30-3.41, 3 Pb 3.36-3.47, 1 Na 3.60

Entry 10:
Compound: NaInPb
Source: Alexandria
Functional: PBE-GGA
Structure: optimized geometry

Results
ΔH_f (0 K)	-113	meV per atom
DOS at the Fermi energy	5.194	states/eV per cell
crystal system	orthorhombic

a b c (Å): 6.7287 4.8670 10.3398
angles (deg): 90.00 90.00 90.00
Last column: nearest neighbours and their distance in Å.
Space group Pnma (No. 62)
Unique sites:
Na: 0.1291 0.2500 0.0875  5 Pb 3.36-3.42, 5 In 3.40-3.59, 2 Na 3.49
In: 0.1066 0.2500 0.7408  5 Pb 3.34-3.53, 2 In 3.37, 5 Na 3.40-3.59
Pb: 0.1291 0.2500 0.4181  5 In 3.34-3.53, 5 Na 3.36-3.42, 2 Pb 3.44

Entry 11:
Compound: Na4InPb2
Source: Alexandria
Functional: PBE-GGA
Structure: optimized geometry

Results
ΔH_f (0 K)	-89	meV per atom
DOS at the Fermi energy	6.554	states/eV per cell
crystal system	orthorhombic

a b c (Å): 8.9177 10.0310 4.9144
angles (deg): 90.00 90.00 90.00
Last column: nearest neighbours and their distance in Å.
Space group Cmmm (No. 65)
Unique sites:
Na: 0.1948 0.0000 0.0000  4 Pb 3.37-3.49, 5 Na 3.47-3.55, 2 In 3.67
Na: 0.2500 0.2500 0.5000  2 In 3.36, 4 Pb 3.36, 4 Na 3.55
In: 0.0000 0.5000 0.5000  4 Pb 3.16, 4 Na 3.36
Pb: 0.0000 0.3023 0.0000  2 In 3.16, 8 Na 3.36-3.49

Entry 12:
Compound: Na8In6Pb
Source: Alexandria
Functional: PBE-GGA
Structure: optimized geometry

Results
ΔH_f (0 K)	-58	meV per atom
E above lowest polymorph	0	kJ/mol of formula units
DOS at the Fermi energy	19.610	states/eV per cell
crystal system	trigonal

a b c (Å): 8.3991 8.3991 20.9455
angles (deg): 90.00 90.00 120.00
Last column: nearest neighbours and their distance in Å.
Space group R-3 (No. 148, hexagonal axes)
Unique sites:
Na: 0.0000 0.0000 0.0864  3 Na 3.18, 6 In 3.30-3.37
Na: 0.0434 0.2610 0.6244  6 Na 3.18-3.54, 3 In 3.24-3.48, 1 Pb 3.31
In: 0.0096 0.2289 0.7843  3 In 3.10-3.26, 4 Na 3.24-3.37
Pb: 0.0000 0.0000 0.5000  6 Na 3.31, 6 In 3.56